Entry 1:
Entry from Alexandria via LeMat-Bulk: a geometry-optimized Li2ReOsF structure (PBE).

a b c (Å): 3.548 3.548 5.765
angles (deg): 90.00 90.00 90.00
Sites, in units of the cell vectors:
Li 0.000 0.500 0.000
Li 0.500 0.000 0.000
Re 0.000 0.000 0.500
Os 0.500 0.500 0.500
F 0.500 0.500 0.000

Properties
symmetry: P4/mmm
ΔE_f (raw): -0.303 eV per atom


Entry 2:
Entry from Alexandria via LeMat-Bulk: a geometry-optimized Na3Np2CuTe6 structure (PBE).

a b c (Å): 7.533 7.533 7.890
angles (deg): 99.17 99.17 120.01
Sites, in units of the cell vectors:
Na 0.000 0.000 0.000
Na 0.329 0.671 0.000
Na 0.671 0.329 0.000
Np 0.166 0.834 0.500
Np 0.834 0.166 0.500
Cu 0.500 0.500 0.500
Te 0.105 0.426 0.277
Te 0.253 0.253 0.725
Te 0.426 0.105 0.277
Te 0.574 0.895 0.723
Te 0.747 0.747 0.275
Te 0.895 0.574 0.723

Properties
symmetry: C2/m
ΔE_f (raw): -0.629 eV per atom


Entry 3:
Entry from Alexandria via LeMat-Bulk: a geometry-optimized Cs2La2Cd structure (PBE).

a b c (Å): 13.218 13.218 13.218
angles (deg): 160.10 160.10 28.29
Sites, in units of the cell vectors:
Cs 0.097 0.097 0.000
Cs 0.903 0.903 0.000
La 0.250 0.750 0.500
La 0.750 0.250 0.500
Cd 0.500 0.500 0.000

Properties
symmetry: I4/mmm
formation enthalpy at 0 K: 2.003 eV/f.u.


E
In order: -30.9, -60.3, -10.5
Unit: eV for the cell shown